{
  "formula": "Ta2Au2N",
  "functional": "PBE",
  "state": "relaxed",
  "lattice": [[5.732, 0.000, 0.000], [0.000, 5.732, 0.000], [0.000, 0.000, 4.975]],
  "species": ["Ta", "Ta", "Ta", "Ta", "Au", "Au", "Au", "Au", "N", "N"],
  "fractional_positions": [[0.177, 0.323, 0.000], [0.323, 0.823, 0.000], [0.677, 0.177, 0.000], [0.823, 0.677, 0.000], [0.165, 0.665, 0.500], [0.335, 0.165, 0.500], [0.665, 0.835, 0.500], [0.835, 0.335, 0.500], [0.000, 0.000, 0.000], [0.500, 0.500, 0.000]],
  "raw_formation_energy_ev_per_atom": -0.345,
  "n_ef_per_ev_cell": 5.80
}



{
  "formula": "NaIn4Pb7",
  "functional": "PBE",
  "state": "relaxed",
  "lattice": [[6.363, -2.982, 0.000], [6.363, 2.982, 0.000], [-5.773, 0.000, 10.081]],
  "species": ["Na", "In", "In", "In", "In", "Pb", "Pb", "Pb", "Pb", "Pb", "Pb", "Pb"],
  "fractional_positions": [[0.000, 0.000, 0.000], [0.285, 0.285, 0.690], [0.431, 0.431, 0.233], [0.569, 0.569, 0.767], [0.715, 0.715, 0.310], [0.045, 0.045, 0.389], [0.208, 0.208, 0.910], [0.337, 0.337, 0.442], [0.500, 0.500, 0.000], [0.663, 0.663, 0.558], [0.792, 0.792, 0.090], [0.955, 0.955, 0.611]],
  "n_ef_per_ev_cell": 6.76,
  "delta_e_f_ev_per_atom": 0.078
}



{
  "formula": "NdSm2Y2Mg",
  "functional": "PBE",
  "state": "relaxed",
  "lattice": [[10.528, 0.000, 0.000], [0.000, 11.894, 0.000], [0.000, 0.000, 3.620]],
  "species": ["Nd", "Nd", "Sm", "Sm", "Sm", "Sm", "Y", "Y", "Y", "Y", "Mg", "Mg"],
  "fractional_positions": [[0.000, 0.000, 0.000], [0.500, 0.500, 0.500], [0.085, 0.228, 0.500], [0.415, 0.728, 0.000], [0.585, 0.272, 0.000], [0.915, 0.772, 0.500], [0.244, 0.434, 0.000], [0.256, 0.934, 0.500], [0.744, 0.066, 0.500], [0.756, 0.566, 0.000], [0.000, 0.500, 0.500], [0.500, 0.000, 0.000]],
  "n_ef_per_ev_cell": 18.73,
  "delta_e_f_ev_per_atom": 0.465
}



{
  "formula": "TbNd4Tm2",
  "functional": "PBE",
  "state": "relaxed",
  "lattice": [[-3.440, 5.714, 6.059], [3.440, -5.714, 6.059], [3.440, 5.714, -6.059]],
  "species": ["Tb", "Tb", "Nd", "Nd", "Nd", "Nd", "Nd", "Nd", "Nd", "Nd", "Tm", "Tm", "Tm", "Tm"],
  "fractional_positions": [[0.500, 0.000, 0.000], [0.500, 0.500, 0.500], [0.153, 0.150, 0.003], [0.240, 0.211, 0.471], [0.240, 0.770, 0.029], [0.354, 0.850, 0.503], [0.646, 0.150, 0.497], [0.760, 0.230, 0.971], [0.760, 0.789, 0.529], [0.847, 0.850, 0.997], [0.000, 0.500, 0.500], [0.032, 0.282, 0.750], [0.500, 0.500, 0.000], [0.968, 0.718, 0.250]],
  "n_ef_per_ev_cell": 20.97,
  "delta_e_f_ev_per_atom": 0.258
}



{
  "formula": "LaOs2Ru",
  "functional": "PBE",
  "state": "relaxed",
  "lattice": [[2.902, 0.000, 0.000], [0.000, 2.902, 0.000], [0.000, 0.000, 8.320]],
  "species": ["La", "Os", "Os", "Ru"],
  "fractional_positions": [[0.000, 0.000, 0.000], [0.500, 0.500, 0.296], [0.500, 0.500, 0.704], [0.000, 0.000, 0.500]],
  "n_ef_per_ev_cell": 5.92,
  "delta_e_f_ev_per_atom": 0.404
}



{
  "formula": "YGa3Pd",
  "functional": "PBE",
  "state": "relaxed",
  "lattice": [[5.388, 0.000, 0.000], [0.000, 5.388, 0.000], [0.000, 0.000, 5.388]],
  "species": ["Y", "Ga", "Ga", "Ga", "Pd"],
  "fractional_positions": [[0.000, 0.000, 0.000], [0.000, 0.000, 0.500], [0.000, 0.500, 0.000], [0.500, 0.000, 0.000], [0.500, 0.500, 0.500]],
  "n_ef_per_ev_cell": 6.01,
  "delta_e_f_ev_per_atom": 0.954
}



{
  "formula": "CrTe3H",
  "functional": "PBE",
  "state": "relaxed",
  "lattice": [[5.085, 0.000, 0.000], [0.000, 5.085, 0.000], [0.000, 0.000, 5.085]],
  "species": ["Cr", "Te", "Te", "Te", "H"],
  "fractional_positions": [[0.000, 0.000, 0.000], [0.000, 0.000, 0.500], [0.000, 0.500, 0.000], [0.500, 0.000, 0.000], [0.500, 0.500, 0.500]],
  "e_tot_ev_per_fu": -18.3,
  "n_ef_per_ev_cell": 7.27
}



{
  "formula": "LiSnSb2Pd4",
  "functional": "PBE",
  "state": "relaxed",
  "lattice": [[-3.301, 3.965, 5.568], [3.301, -3.965, 5.568], [3.301, 3.965, -5.568]],
  "species": ["Li", "Li", "Sn", "Sn", "Sb", "Sb", "Sb", "Sb", "Pd", "Pd", "Pd", "Pd", "Pd", "Pd", "Pd", "Pd"],
  "fractional_positions": [[0.248, 0.000, 0.248], [0.752, 0.000, 0.752], [0.662, 0.403, 0.741], [0.662, 0.921, 0.259], [0.163, 0.403, 0.240], [0.163, 0.922, 0.760], [0.245, 0.491, 0.755], [0.736, 0.491, 0.245], [0.006, 0.254, 0.752], [0.006, 0.755, 0.251], [0.409, 0.143, 0.735], [0.409, 0.674, 0.265], [0.502, 0.254, 0.248], [0.504, 0.755, 0.749], [0.908, 0.149, 0.241], [0.908, 0.667, 0.759]],
  "raw_formation_energy_ev_per_atom": -0.437,
  "n_ef_per_ev_cell": 5.16
}



{
  "formula": "TcSb2SeI",
  "functional": "PBE",
  "state": "relaxed",
  "lattice": [[5.355, 0.000, 0.000], [0.000, 5.355, 0.000], [0.000, 0.000, 4.751]],
  "species": ["Tc", "Sb", "Sb", "Se", "I"],
  "fractional_positions": [[0.000, 0.000, 0.000], [0.000, 0.500, 0.000], [0.500, 0.000, 0.000], [0.000, 0.000, 0.500], [0.500, 0.500, 0.500]],
  "raw_formation_energy_ev_per_atom": 0.253,
  "n_ef_per_ev_cell": 4.70
}



{
  "formula": "Mg3Sc",
  "functional": "PBE",
  "state": "relaxed",
  "lattice": [[6.432, 0.000, 0.000], [-3.216, 5.570, 0.000], [0.000, 0.000, 5.107]],
  "species": ["Mg", "Mg", "Mg", "Mg", "Mg", "Mg", "Sc", "Sc"],
  "fractional_positions": [[0.167, 0.334, 0.250], [0.167, 0.833, 0.250], [0.334, 0.167, 0.750], [0.666, 0.833, 0.250], [0.833, 0.167, 0.750], [0.833, 0.666, 0.750], [0.333, 0.667, 0.750], [0.667, 0.333, 0.250]],
  "n_ef_per_ev_cell": 9.20,
  "delta_e_f_ev_per_atom": -0.036
}



{
  "formula": "Tb7Sm6Ho16",
  "functional": "PBE",
  "state": "relaxed",
  "lattice": [[0.000, 7.869, 7.869], [7.869, 0.000, 7.869], [7.869, 7.869, 0.000]],
  "species": ["Tb", "Tb", "Tb", "Tb", "Tb", "Tb", "Tb", "Sm", "Sm", "Sm", "Sm", "Sm", "Sm", "Ho", "Ho", "Ho", "Ho", "Ho", "Ho", "Ho", "Ho", "Ho", "Ho", "Ho", "Ho", "Ho", "Ho", "Ho", "Ho"],
  "fractional_positions": [[0.000, 0.000, 0.000], [0.000, 0.000, 0.500], [0.000, 0.500, 0.000], [0.000, 0.500, 0.500], [0.500, 0.000, 0.000], [0.500, 0.000, 0.500], [0.500, 0.500, 0.000], [0.273, 0.273, 0.727], [0.273, 0.727, 0.273], [0.273, 0.727, 0.727], [0.727, 0.273, 0.273], [0.727, 0.273, 0.727], [0.727, 0.727, 0.273], [0.047, 0.651, 0.651], [0.126, 0.126, 0.126], [0.126, 0.126, 0.622], [0.126, 0.622, 0.126], [0.349, 0.349, 0.349], [0.349, 0.349, 0.953], [0.349, 0.953, 0.349], [0.378, 0.874, 0.874], [0.622, 0.126, 0.126], [0.651, 0.047, 0.651], [0.651, 0.651, 0.047], [0.651, 0.651, 0.651], [0.874, 0.378, 0.874], [0.874, 0.874, 0.378], [0.874, 0.874, 0.874], [0.953, 0.349, 0.349]],
  "n_ef_per_ev_cell": 59.53,
  "delta_e_f_ev_per_atom": 0.244
}



{
  "formula": "MnPbW2",
  "functional": "PBE",
  "state": "relaxed",
  "lattice": [[5.472, 0.000, 0.000], [0.000, 8.492, 0.000], [0.000, 0.000, 2.983]],
  "species": ["Mn", "Mn", "Pb", "Pb", "W", "W", "W", "W"],
  "fractional_positions": [[0.000, 0.000, 0.000], [0.500, 0.500, 0.000], [0.000, 0.500, 0.000], [0.500, 0.000, 0.000], [0.250, 0.250, 0.500], [0.250, 0.750, 0.500], [0.750, 0.250, 0.500], [0.750, 0.750, 0.500]],
  "n_ef_per_ev_cell": 9.27,
  "delta_e_f_ev_per_atom": 0.929
}



Which formula does entry 1 have? Ta2Au2N



Repeat the first record exactly.
{
  "formula": "Ta2Au2N",
  "functional": "PBE",
  "state": "relaxed",
  "lattice": [[5.732, 0.000, 0.000], [0.000, 5.732, 0.000], [0.000, 0.000, 4.975]],
  "species": ["Ta", "Ta", "Ta", "Ta", "Au", "Au", "Au", "Au", "N", "N"],
  "fractional_positions": [[0.177, 0.323, 0.000], [0.323, 0.823, 0.000], [0.677, 0.177, 0.000], [0.823, 0.677, 0.000], [0.165, 0.665, 0.500], [0.335, 0.165, 0.500], [0.665, 0.835, 0.500], [0.835, 0.335, 0.500], [0.000, 0.000, 0.000], [0.500, 0.500, 0.000]],
  "raw_formation_energy_ev_per_atom": -0.345,
  "n_ef_per_ev_cell": 5.80
}